(1)
VASP calculation (PBE) on a relaxed structure of CeRhPb.

```
CeRhPb
1.0
3.552 0.000 0.000
0.000 4.769 0.000
0.000 -2.384 4.130
Pb Rh Ce
1 1 1
direct
0.167 0.000 0.000 Pb
0.167 0.333 0.667 Rh
0.667 0.667 0.333 Ce
```

Values from the calculation:
Raw total energy   -6.142 eV per atom

***

(2)
VASP calculation (PBE) on a relaxed structure of Ce6RhPb3.

```
Ce6RhPb3
1.0
8.050 -1.664 -1.175
2.582 5.860 0.038
2.582 1.994 5.511
Ce Rh Pb
6 1 3
direct
0.364 0.091 0.673 Ce
0.636 0.327 0.909 Ce
0.636 0.909 0.327 Ce
0.364 0.673 0.091 Ce
0.129 0.647 0.647 Ce
0.871 0.353 0.353 Ce
0.500 0.500 0.500 Rh
0.258 0.175 0.175 Pb
0.742 0.825 0.825 Pb
0.000 0.000 0.000 Pb
```

Values from the calculation:
Raw total energy   -5.699 eV per atom

***

(3)
VASP calculation (PBE) on a relaxed structure of CeRh2Pb.

```
CeRh2Pb
1.0
4.311 0.000 0.000
0.000 5.609 0.000
0.000 0.000 7.181
Ce Rh Pb
2 4 2
direct
0.000 0.250 0.776 Ce
0.000 0.750 0.224 Ce
0.000 0.750 0.845 Rh
0.000 0.250 0.155 Rh
0.500 0.000 0.000 Rh
0.500 0.500 0.000 Rh
0.500 0.750 0.618 Pb
0.500 0.250 0.382 Pb
```

Values from the calculation:
Raw total energy   -6.669 eV per atom

***

(4)
VASP calculation (PBE) on a relaxed structure of Ce3Rh3Pb.

```
Ce3Rh3Pb
1.0
8.715 0.000 0.000
4.357 7.547 0.000
4.357 2.516 5.183
Ce Rh Pb
6 6 2
direct
0.190 0.635 0.288 Ce
0.887 0.190 0.288 Ce
0.635 0.887 0.288 Ce
0.365 0.113 0.712 Ce
0.113 0.810 0.712 Ce
0.810 0.365 0.712 Ce
0.455 0.702 0.775 Rh
0.702 0.067 0.775 Rh
0.067 0.455 0.775 Rh
0.933 0.545 0.225 Rh
0.298 0.933 0.225 Rh
0.545 0.298 0.225 Rh
0.331 0.331 0.006 Pb
0.669 0.669 0.994 Pb
```

Values from the calculation:
Raw total energy   -6.779 eV per atom

***

(5)
VASP calculation (PBE) on a relaxed structure of CeRhPb.

```
CeRhPb
1.0
4.724 0.000 0.000
-2.362 4.088 -0.289
0.000 -2.174 7.920
Ce Rh Pb
2 2 2
direct
0.744 0.489 0.232 Ce
0.256 0.511 0.768 Ce
0.132 0.265 0.397 Rh
0.868 0.735 0.603 Rh
0.500 0.000 0.500 Pb
0.000 0.000 0.000 Pb
```

Values from the calculation:
Raw total energy   -6.157 eV per atom

***

(6)
VASP calculation (PBE) on a relaxed structure of Ce6RhPb2.

```
Ce6RhPb2
1.0
-1.992 4.183 4.263
-7.477 -0.953 -2.559
-1.236 -7.656 6.461
Ce Rh Pb
12 2 4
direct
0.871 0.932 0.233 Ce
0.836 0.692 0.522 Ce
0.904 0.739 0.981 Ce
0.596 0.239 0.519 Ce
0.664 0.192 0.978 Ce
0.629 0.432 0.267 Ce
0.129 0.068 0.767 Ce
0.164 0.308 0.478 Ce
0.096 0.261 0.019 Ce
0.404 0.761 0.481 Ce
0.336 0.808 0.022 Ce
0.371 0.568 0.733 Ce
0.500 0.500 0.000 Rh
0.000 0.000 0.500 Rh
0.880 0.432 0.754 Pb
0.620 0.932 0.746 Pb
0.380 0.068 0.254 Pb
0.120 0.568 0.246 Pb
```

Values from the calculation:
Raw total energy   -5.856 eV per atom

***

(7)
VASP calculation (PBE) on a relaxed structure of Ce6Rh2Pb.

```
Ce6Rh2Pb
1.0
-4.119 -0.708 1.959
0.335 -2.075 -5.482
2.915 -7.881 3.282
Ce Rh Pb
6 2 1
direct
0.078 0.156 0.862 Ce
0.588 0.176 0.181 Ce
0.412 0.824 0.819 Ce
0.712 0.425 0.599 Ce
0.288 0.575 0.401 Ce
0.922 0.844 0.138 Ce
0.746 0.492 0.888 Rh
0.254 0.508 0.112 Rh
0.000 0.000 0.500 Pb
```

Values from the calculation:
Raw total energy   -6.452 eV per atom

***

(8)
VASP calculation (PBE) on a relaxed structure of CeRhPb.

```
CeRhPb
1.0
-4.227 0.972 -6.316
-2.303 -4.881 5.438
-2.042 3.001 1.829
Ce Rh Pb
3 3 3
direct
0.411 0.411 0.500 Ce
0.589 0.000 0.500 Ce
0.000 0.589 0.500 Ce
0.000 0.000 0.500 Rh
0.667 0.333 0.000 Rh
0.333 0.667 0.000 Rh
0.742 0.742 0.000 Pb
0.258 0.000 0.000 Pb
0.000 0.258 0.000 Pb
```

Values from the calculation:
Raw total energy   -6.313 eV per atom

***

(9)
VASP calculation (PBE) on a relaxed structure of CeTmRhPb.

```
CeTmRhPb
1.0
5.184 0.000 0.000
2.592 4.490 0.000
2.592 1.497 4.233
Pb Tm Rh Ce
1 1 1 1
direct
0.000 0.000 0.000 Pb
0.750 0.750 0.750 Tm
0.500 0.500 0.500 Rh
0.250 0.250 0.250 Ce
```

Values from the calculation:
Raw total energy   -5.788 eV per atom

***

(10)
VASP calculation (PBE) on a relaxed structure of CeZnRhPb.

```
CeZnRhPb
1.0
-3.912 2.157 -2.010
-0.753 -0.305 -4.831
-3.679 -2.729 -1.738
Pb Zn Rh Ce
1 1 1 1
direct
0.750 0.750 0.750 Pb
0.500 0.500 0.500 Zn
0.000 0.000 0.000 Rh
0.250 0.250 0.250 Ce
```

Values from the calculation:
Raw total energy   -4.920 eV per atom

***

(11)
VASP calculation (PBE) on a relaxed structure of Ce2Ru2Pb.

```
Ce2Ru2Pb
1.0
6.912 -1.219 0.022
-2.628 6.508 0.022
-1.833 -2.263 5.677
Ce Ru Pb
4 4 2
direct
0.379 0.621 0.250 Ce
0.799 0.201 0.250 Ce
0.201 0.799 0.750 Ce
0.621 0.379 0.750 Ce
0.764 0.586 0.489 Ru
0.414 0.236 0.011 Ru
0.586 0.764 0.989 Ru
0.236 0.414 0.511 Ru
0.085 0.915 0.250 Pb
0.915 0.085 0.750 Pb
```

Values from the calculation:
Raw total energy   -7.037 eV per atom

***

(12)
VASP calculation (PBE) on a relaxed structure of Ce4RuPb3.

```
Ce4RuPb3
1.0
-1.028 -2.092 5.825
-0.307 -5.922 -2.181
12.376 -1.277 1.726
Ce Ru Pb
8 2 6
direct
0.064 0.820 0.000 Ce
0.564 0.188 0.000 Ce
0.064 0.263 0.214 Ce
0.564 0.737 0.286 Ce
0.064 0.812 0.500 Ce
0.564 0.180 0.500 Ce
0.564 0.737 0.714 Ce
0.064 0.263 0.786 Ce
0.064 0.209 0.000 Ru
0.564 0.791 0.500 Ru
0.564 0.684 0.000 Pb
0.064 0.764 0.250 Pb
0.564 0.236 0.250 Pb
0.064 0.316 0.500 Pb
0.564 0.236 0.750 Pb
0.064 0.764 0.750 Pb
```

Values from the calculation:
Raw total energy   -5.726 eV per atom

***

(13)
VASP calculation (PBE) on a relaxed structure of Ce11Ru4Pb9.

```
Ce11Ru4Pb9
1.0
4.027 0.000 0.000
0.000 12.029 -5.020
0.000 0.111 13.034
Ce Ru Pb
11 4 9
direct
0.000 0.580 0.915 Ce
0.000 0.420 0.085 Ce
0.000 0.915 0.580 Ce
0.000 0.085 0.420 Ce
0.000 0.627 0.373 Ce
0.000 0.373 0.627 Ce
0.000 0.844 0.156 Ce
0.000 0.156 0.844 Ce
0.000 0.000 0.000 Ce
0.000 0.687 0.687 Ce
0.000 0.313 0.313 Ce
0.500 0.547 0.758 Ru
0.500 0.453 0.242 Ru
0.500 0.758 0.547 Ru
0.500 0.242 0.453 Ru
0.500 0.632 0.150 Pb
0.500 0.368 0.850 Pb
0.500 0.150 0.632 Pb
0.500 0.850 0.368 Pb
0.500 0.779 0.926 Pb
0.500 0.221 0.074 Pb
0.500 0.926 0.779 Pb
0.500 0.074 0.221 Pb
0.500 0.500 0.500 Pb
```

Values from the calculation:
Raw total energy   -6.073 eV per atom

***

(14)
VASP calculation (PBE) on a relaxed structure of Ce2RuPb.

```
Ce2RuPb
1.0
3.349 0.000 0.000
0.000 3.349 0.000
0.000 0.000 8.738
Pb Ru Ce
1 1 2
direct
0.500 0.500 0.500 Pb
0.500 0.500 0.000 Ru
0.000 0.000 0.795 Ce
0.000 0.000 0.205 Ce
```

Values from the calculation:
Raw total energy   -6.591 eV per atom
Energy above the most stable polymorph in this dataset   0.12 eV/f.u.

***

(15)
VASP calculation (PBE) on a relaxed structure of Ce2RuPb.

```
Ce2RuPb
1.0
3.877 0.000 0.000
1.939 3.358 0.000
1.939 1.119 8.558
Ce Ru Pb
2 1 1
direct
0.063 0.063 0.812 Ce
0.270 0.270 0.191 Ce
0.669 0.669 0.993 Ru
0.499 0.499 0.504 Pb
```

Values from the calculation:
Raw total energy   -6.481 eV per atom
Energy above the most stable polymorph in this dataset   0.56 eV/f.u.

***

(16)
VASP calculation (PBE) on a relaxed structure of Ce4Ru2Pb3.

```
Ce4Ru2Pb3
1.0
6.574 1.221 0.874
1.922 9.760 1.744
1.922 4.796 8.678
Ce Ru Pb
8 4 6
direct
0.429 0.869 0.255 Ce
0.071 0.745 0.131 Ce
0.571 0.131 0.745 Ce
0.929 0.255 0.869 Ce
0.915 0.251 0.350 Ce
0.585 0.650 0.749 Ce
0.085 0.749 0.650 Ce
0.415 0.350 0.251 Ce
0.357 0.023 0.395 Ru
0.143 0.605 0.977 Ru
0.643 0.977 0.605 Ru
0.857 0.395 0.023 Ru
0.832 0.991 0.288 Pb
0.668 0.712 0.009 Pb
0.168 0.009 0.712 Pb
0.332 0.288 0.991 Pb
0.250 0.498 0.502 Pb
0.750 0.502 0.498 Pb
```

Values from the calculation:
Raw total energy   -6.234 eV per atom

***

(17)
VASP calculation (PBE) on a relaxed structure of Ce5RuPb2.

```
Ce5RuPb2
1.0
-2.206 -4.093 2.528
7.600 2.087 4.473
-6.380 7.867 7.170
Ce Ru Pb
10 2 4
direct
0.945 0.891 0.904 Ce
0.945 0.891 0.596 Ce
0.271 0.541 0.442 Ce
0.271 0.541 0.058 Ce
0.691 0.381 0.250 Ce
0.309 0.619 0.750 Ce
0.729 0.459 0.558 Ce
0.729 0.459 0.942 Ce
0.055 0.109 0.096 Ce
0.055 0.109 0.404 Ce
0.835 0.669 0.750 Ru
0.165 0.331 0.250 Ru
0.868 0.737 0.370 Pb
0.868 0.737 0.130 Pb
0.132 0.263 0.630 Pb
0.132 0.263 0.870 Pb
```

Values from the calculation:
Raw total energy   -5.717 eV per atom
Energy above the most stable polymorph in this dataset   3.46 eV/f.u.

***

(18)
VASP calculation (PBE) on a relaxed structure of Ce2RuPb.

```
Ce2RuPb
1.0
3.930 0.000 0.000
1.965 3.404 0.000
1.965 1.135 8.255
Pb Ru Ce
1 1 2
direct
0.500 0.500 0.500 Pb
0.000 0.000 0.000 Ru
0.269 0.269 0.193 Ce
0.731 0.731 0.807 Ce
```

Values from the calculation:
Raw total energy   -6.507 eV per atom
Energy above the most stable polymorph in this dataset   0.46 eV/f.u.

***

(19)
VASP calculation (PBE) on a relaxed structure of Ce5RuPb2.

```
Ce5RuPb2
1.0
-2.329 0.516 4.070
-2.877 -7.377 -0.712
9.805 -4.419 6.170
Ce Ru Pb
10 2 4
direct
0.000 0.000 0.500 Ce
0.000 0.500 0.000 Ce
0.000 0.877 0.196 Ce
0.000 0.123 0.804 Ce
0.000 0.623 0.696 Ce
0.000 0.377 0.304 Ce
0.500 0.701 0.440 Ce
0.500 0.299 0.560 Ce
0.500 0.799 0.940 Ce
0.500 0.201 0.060 Ce
0.000 0.500 0.500 Ru
0.000 0.000 0.000 Ru
0.500 0.589 0.176 Pb
0.500 0.411 0.824 Pb
0.500 0.911 0.676 Pb
0.500 0.089 0.324 Pb
```

Values from the calculation:
Raw total energy   -6.150 eV per atom
Energy above the most stable polymorph in this dataset   0.00 eV/f.u.

***

(20)
VASP calculation (PBE) on a relaxed structure of Ce3RuPb2.

```
Ce3RuPb2
1.0
7.685 0.000 -0.410
3.842 5.764 -0.205
2.248 0.000 7.789
Ce Ru Pb
6 2 4
direct
0.458 0.629 0.776 Ce
0.316 0.000 0.185 Ce
0.542 0.371 0.224 Ce
0.913 0.629 0.224 Ce
0.087 0.371 0.776 Ce
0.684 0.000 0.815 Ce
0.684 0.633 0.000 Ru
0.316 0.367 0.000 Ru
0.000 0.000 0.000 Pb
0.500 0.000 0.500 Pb
0.133 0.733 0.500 Pb
0.867 0.267 0.500 Pb
```

Values from the calculation:
Raw total energy   -6.016 eV per atom

***

(21)
VASP calculation (PBE) on a relaxed structure of CeRuPb.

```
CeRuPb
1.0
-0.325 1.413 -3.775
-0.372 -3.782 -1.384
-4.552 1.473 3.109
Pb Ru Ce
1 1 1
direct
0.991 0.991 0.982 Pb
0.544 0.544 0.088 Ru
0.315 0.315 0.630 Ce
```

Values from the calculation:
Raw total energy   -6.269 eV per atom

***

(22)
VASP calculation (PBE) on a relaxed structure of Ce5Ru2Pb2.

```
Ce5Ru2Pb2
1.0
-2.601 -3.432 3.542
7.618 -3.085 -1.784
-2.644 6.135 4.003
Ce Ru Pb
5 2 2
direct
0.377 0.755 0.130 Ce
0.623 0.245 0.870 Ce
0.102 0.203 0.550 Ce
0.898 0.797 0.450 Ce
0.000 0.000 0.000 Ce
0.161 0.322 0.011 Ru
0.839 0.678 0.989 Ru
0.330 0.660 0.575 Pb
0.670 0.340 0.425 Pb
```

Values from the calculation:
Raw total energy   -6.493 eV per atom

***

We obtain energy of formation values of -1.4 -2.9 -2.3 -3.9 -1.5 -2.3 -4.0 -1.9 -1.7 -1.4 -1.1 -1.7 -10.0 -1.5 -1.1 -2.7 0.6 -1.2 -2.8 -1.6 0.1 -2.8 eV/f.u. for the records listed above, in that order.
We obtain total moment values of 0.157 6.469 0.000 0.398 0.137 2.708 2.496 0.302 0.467 0.003 0.000 1.206 7.643 0.929 0.633 1.771 5.650 0.001 4.979 1.658 0.301 1.393 μB/f.u. for the records listed above, in that order.